i | DFT (PBE-GGA) results for Tb8Zn2Fe after structural relaxation.

Output
Density   8327 kg/m3
DOS at the Fermi energy   13.2 states/eV per cell

Cell: 4.9472 8.3563 8.5468 Å, 119.27 106.82 90.00°
Closest atoms and distances in Å follow each position.
Positions (direct):
Tb1 0.0000 0.3265 0.0001  3 Tb 2.90-3.25, 2 Zn 3.12
Tb2 0.8750 0.8750 0.7499  2 Fe 3.04, 2 Tb 3.25
Tb3 0.3417 0.5649 0.6835  3 Zn 3.08-3.15, 1 Fe 3.21, 4 Tb 3.35-3.42
Tb4 0.1250 0.1250 0.2501  2 Fe 3.04, 2 Tb 3.25
Tb5 0.6582 0.8813 0.3164  3 Zn 3.08-3.14, 1 Fe 3.21, 4 Tb 3.35-3.42
Tb6 0.0000 0.6735 0.9999  3 Tb 2.90-3.25, 2 Zn 3.12
Tb7 0.3418 0.1187 0.6836  3 Zn 3.08-3.14, 1 Fe 3.21, 4 Tb 3.35-3.42
Tb8 0.6582 0.4351 0.3165  3 Zn 3.08-3.15, 1 Fe 3.21, 4 Tb 3.35-3.42
Zn1 0.8032 0.3032 0.6065  8 Tb 3.08-3.15
Zn2 0.1968 0.6968 0.3935  8 Tb 3.08-3.15
Fe1 0.5000 0.0000 0.0000  8 Tb 3.04-3.21

ii | DFT (PBE-GGA) results for Tb8Zn2Fe after structural relaxation.

Output
Density   8396 kg/m3
DOS at the Fermi energy   8.9 states/eV per cell

Cell: 5.1951 6.7307 9.0154 Å, 106.45 106.75 90.00°
Closest atoms and distances in Å follow each position.
Positions (direct):
Zn1 0.8138 0.2804 0.6276  5 Tb 2.87-3.19
Zn2 0.1862 0.7196 0.3724  5 Tb 2.87-3.19
Tb1 0.1991 0.3048 0.3981  1 Zn 2.87
Tb2 0.4103 0.5710 0.8206  1 Fe 2.84
Tb3 0.0256 0.7893 0.0513  1 Zn 2.94, 2 Fe 3.05, 1 Tb 3.21
Tb4 0.9744 0.2107 0.9487  1 Zn 2.94, 2 Fe 3.05, 1 Tb 3.21
Tb5 0.6555 0.9619 0.3110  1 Fe 2.77, 1 Zn 2.93
Tb6 0.3445 0.0381 0.6890  1 Fe 2.77, 1 Zn 2.93
Tb7 0.8009 0.6952 0.6019  1 Zn 2.87
Tb8 0.5897 0.4290 0.1794  1 Fe 2.84
Fe1 0.5000 0.0000 0.0000  8 Tb 2.77-3.05

Computed energies relative to the best structure, in kJ/mol of atoms: i 11.3; ii 0.0